DFT (GGA-PBE) results for a relaxed K3Ac3CrS8 crystal.

For the total moment, the calculation gives 5.69 μB per cell. Its crystal system is trigonal. The energy is -5.3878 eV/atom. For the volume, the calculation gives 30.945 A^3/atom.

Structure (CIF):
```
data_K3Ac3CrS8
_space_group_name_H-M_alt 'R -3 m'
_space_group_IT_number 166
_space_group_name_Hall '-R 3 2"'
_cell_length_a 8.4485
_cell_length_b 8.4485
_cell_length_c 22.5273
_cell_angle_alpha 90.00
_cell_angle_beta 90.00
_cell_angle_gamma 120.00
loop_
_atom_site_label
_atom_site_type_symbol
_atom_site_fract_x
_atom_site_fract_y
_atom_site_fract_z
K1 K 0.0000 0.5000 0.0000
Ac1 Ac 0.0000 0.5000 0.5000
Cr1 Cr 0.0000 0.0000 0.5000
S1 S 0.0000 0.0000 0.2403
S2 S 0.0520 0.5260 0.2288
```


DFT (GGA-PBE) results for a relaxed K4Ac3CrSe8 crystal.

For the total moment, the calculation gives 8.78 μB per cell. Its crystal system is trigonal. The energy is -4.8659 eV/atom. For the volume, the calculation gives 32.600 A^3/atom.

Structure (CIF):
```
data_K4Ac3CrSe8
_space_group_name_H-M_alt 'R -3 m'
_space_group_IT_number 166
_space_group_name_Hall '-R 3 2"'
_cell_length_a 8.8230
_cell_length_b 8.8230
_cell_length_c 23.2114
_cell_angle_alpha 90.00
_cell_angle_beta 90.00
_cell_angle_gamma 120.00
loop_
_atom_site_label
_atom_site_type_symbol
_atom_site_fract_x
_atom_site_fract_y
_atom_site_fract_z
K1 K 0.0000 0.0000 0.0000
K2 K 0.0000 0.5000 0.0000
Ac1 Ac 0.0000 0.5000 0.5000
Cr1 Cr 0.0000 0.0000 0.5000
Se1 Se 0.0000 0.0000 0.2416
Se2 Se 0.0374 0.5187 0.2340
```


DFT (GGA-PBE) results for a relaxed Ac2LaCrN4 crystal.

For the total moment, the calculation gives 10.90 μB per cell. Its crystal system is orthorhombic. The energy is -7.8886 eV/atom. For the volume, the calculation gives 18.907 A^3/atom.

Structure (CIF):
```
data_Ac2LaCrN4
_space_group_name_H-M_alt 'C m c m'
_space_group_IT_number 63
_space_group_name_Hall '-C 2c 2'
_cell_length_a 3.654
_cell_length_b 12.907
_cell_length_c 12.831
_cell_angle_alpha 90.00
_cell_angle_beta 90.00
_cell_angle_gamma 90.00
loop_
_atom_site_label
_atom_site_type_symbol
_atom_site_fract_x
_atom_site_fract_y
_atom_site_fract_z
Ac1 Ac 0.000 0.131 0.042
La1 La 0.000 0.368 0.250
Cr1 Cr 0.000 0.322 0.750
N1 N 0.000 0.126 0.250
N2 N 0.000 0.222 0.641
N3 N 0.000 0.500 0.000
```


DFT (GGA-PBE) results for a relaxed Ac4La3CrN8 crystal.

For the total moment, the calculation gives 5.71 μB per cell. Its crystal system is monoclinic. The energy is -7.6075 eV/atom. For the volume, the calculation gives 18.889 A^3/atom.

Structure (CIF):
```
data_Ac4La3CrN8
_space_group_name_H-M_alt 'C 1 2/m 1'
_space_group_IT_number 12
_cell_length_a 13.318
_cell_length_b 7.353
_cell_length_c 7.397
_cell_angle_alpha 90.00
_cell_angle_beta 123.44
_cell_angle_gamma 90.00
loop_
_space_group_symop_operation_xyz
'x,y,z'
'-x,-y,-z'
'-x,y,-z'
'x,-y,z'
'x+1/2,y+1/2,z'
'-x+1/2,-y+1/2,-z'
'-x+1/2,y+1/2,-z'
'x+1/2,-y+1/2,z'
loop_
_atom_site_label
_atom_site_type_symbol
_atom_site_fract_x
_atom_site_fract_y
_atom_site_fract_z
Ac1 Ac 0.000 0.000 0.000
Ac2 Ac 0.000 0.500 0.000
Ac3 Ac 0.250 0.250 0.500
La1 La 0.000 0.000 0.500
La2 La 0.250 0.250 0.000
Cr1 Cr 0.000 0.500 0.500
N1 N 0.001 0.273 0.722
N2 N 0.222 0.000 0.214
N3 N 0.248 0.000 0.757
```


DFT (GGA-PBE) results for a relaxed Ac2LaCr2N6 crystal.

For the total moment, the calculation gives 0.00 μB per cell. Its crystal system is trigonal. The energy is -8.3531 eV/atom. For the volume, the calculation gives 16.839 A^3/atom.

Structure (CIF):
```
data_Ac2LaCr2N6
_space_group_name_H-M_alt 'R -3 m'
_space_group_IT_number 166
_space_group_name_Hall '-R 3 2"'
_cell_length_a 5.7769
_cell_length_b 5.7769
_cell_length_c 19.2271
_cell_angle_alpha 90.00
_cell_angle_beta 90.00
_cell_angle_gamma 120.00
loop_
_atom_site_label
_atom_site_type_symbol
_atom_site_fract_x
_atom_site_fract_y
_atom_site_fract_z
Ac1 Ac 0.0000 0.0000 0.2086
La1 La 0.0000 0.0000 0.0000
Cr1 Cr 0.0000 0.0000 0.4067
N1 N 0.0058 0.5029 0.2366
```


DFT (GGA-PBE) results for a relaxed AcLaCrN4 crystal.

For the total moment, the calculation gives 0.00 μB per cell. Its crystal system is monoclinic. The energy is -8.5318 eV/atom. For the volume, the calculation gives 16.233 A^3/atom.

Structure (CIF):
```
data_AcLaCrN4
_space_group_name_H-M_alt 'P 1 21/m 1'
_space_group_IT_number 11
_cell_length_a 5.772
_cell_length_b 5.652
_cell_length_c 7.380
_cell_angle_alpha 90.00
_cell_angle_beta 109.28
_cell_angle_gamma 90.00
loop_
_space_group_symop_operation_xyz
'x,y,z'
'-x,-y,-z'
'-x,y+1/2,-z'
'x,-y+1/2,z'
loop_
_atom_site_label
_atom_site_type_symbol
_atom_site_fract_x
_atom_site_fract_y
_atom_site_fract_z
Ac1 Ac 0.210 0.250 0.433
La1 La 0.291 0.250 0.972
Cr1 Cr 0.273 0.750 0.203
N1 N 0.064 0.750 0.332
N2 N 0.114 0.750 0.958
N3 N 0.466 0.507 0.263
```